# 1
This record from OQMD describes a relaxed ZrPt3 crystal. The functional is GGA-PBE.

Calculated values
DFT total energy	-59.69	eV/cell
calculated density	16.22	g/cm3

Unit cell a=5.1743 b=5.1743 c=5.1743 alpha=90.00 beta=90.00 gamma=90.00
Sites, in units of the cell vectors:
Pt 0.0000 0.5000 0.7500
Pt 0.2500 0.0000 0.5000
Pt 0.5000 0.7500 0.0000
Pt 0.7500 0.0000 0.5000
Pt 0.0000 0.5000 0.2500
Pt 0.5000 0.2500 0.0000
Zr 0.0000 0.0000 0.0000
Zr 0.5000 0.5000 0.5000

***

# 2
This record from OQMD describes a relaxed HoTaPd crystal. The functional is GGA-PBE.

Calculated values
DFT total energy	-20.89	eV/cell
calculated density	10.86	g/cm3

Unit cell a=4.6075 b=4.6075 c=4.6075 alpha=60.00 beta=60.00 gamma=60.00
Sites, in units of the cell vectors:
Ta 0.7500 0.7500 0.7500
Pd 0.0000 0.0000 0.0000
Ho 0.2500 0.2500 0.2500

***

# 3
This record from OQMD describes a relaxed Zr2IrPd crystal. The functional is GGA-PBE.

Calculated values
DFT total energy	-33.06	eV/cell
calculated density	11.34	g/cm3

Unit cell a=4.6361 b=4.6361 c=4.6361 alpha=60.00 beta=60.00 gamma=60.00
Sites, in units of the cell vectors:
Zr 0.7500 0.7500 0.7500
Zr 0.0000 0.0000 0.0000
Pd 0.5000 0.5000 0.5000
Ir 0.2500 0.2500 0.2500

***

# 4
This record from OQMD describes a relaxed NaHf crystal. The functional is GGA-PBE.

Calculated values
DFT total energy	-10.19	eV/cell
calculated density	6.95	g/cm3

Unit cell a=3.0184 b=3.0184 c=6.0997 alpha=90.00 beta=90.00 gamma=120.00
Sites, in units of the cell vectors:
Na 0.3333 0.6667 0.2500
Hf 0.6667 0.3333 0.7500

***

# 5
This record from OQMD describes a relaxed SrHfPO crystal. The functional is GGA-PBE.

Calculated values
DFT total energy	-53.86	eV/cell
calculated density	7.04	g/cm3

Unit cell a=4.2475 b=4.2475 c=8.1808 alpha=90.00 beta=90.00 gamma=90.00
Sites, in units of the cell vectors:
Sr 0.7500 0.2500 0.5000
Sr 0.2500 0.7500 0.5000
O 0.7500 0.2500 0.0000
O 0.2500 0.7500 0.0000
Hf 0.7500 0.7500 0.9196
Hf 0.2500 0.2500 0.0804
P 0.7500 0.7500 0.2537
P 0.2500 0.2500 0.7463

***

# 6
This record from OQMD describes a relaxed PmIn2Pd3 crystal. The functional is GGA-PBE.

Calculated values
DFT total energy	-60.01	eV/cell
calculated density	9.54	g/cm3

Unit cell a=4.6505 b=4.6505 c=12.9024 alpha=90.00 beta=90.00 gamma=120.00
Sites, in units of the cell vectors:
Pd 0.0000 0.0000 0.0000
Pd 0.3333 0.6667 0.3649
Pd 0.0000 0.0000 0.5000
Pd 0.6667 0.3333 0.6351
Pd 0.3333 0.6667 0.1351
Pd 0.6667 0.3333 0.8649
In 0.6667 0.3333 0.0818
In 0.3333 0.6667 0.9182
In 0.6667 0.3333 0.4182
In 0.3333 0.6667 0.5818
Pm 0.0000 0.0000 0.2500
Pm 0.0000 0.0000 0.7500

***

# 7
This record from OQMD describes a relaxed YNpCd crystal. The functional is GGA-PBE.

Calculated values
DFT total energy	-17.40	eV/cell
calculated density	8.25	g/cm3

Unit cell a=4.9969 b=4.9969 c=4.9969 alpha=60.00 beta=60.00 gamma=60.00
Sites, in units of the cell vectors:
Cd 0.2500 0.2500 0.2500
Y 0.0000 0.0000 0.0000
Np 0.7500 0.7500 0.7500

***

# 8
This record from OQMD describes a relaxed TaCuSiTc crystal. The functional is GGA-PBE.

Calculated values
DFT total energy	-31.75	eV/cell
calculated density	10.75	g/cm3

Unit cell a=4.3266 b=4.3266 c=4.3266 alpha=60.00 beta=60.00 gamma=60.00
Sites, in units of the cell vectors:
Cu 0.7500 0.7500 0.7500
Tc 0.2500 0.2500 0.2500
Ta 0.5000 0.5000 0.5000
Si 0.0000 0.0000 0.0000

***

# 9
This record from OQMD describes a relaxed ThAgPd crystal. The functional is GGA-PBE.

Calculated values
DFT total energy	-16.50	eV/cell
calculated density	9.92	g/cm3

Unit cell a=4.7270 b=4.7270 c=4.7270 alpha=60.00 beta=60.00 gamma=60.00
Sites, in units of the cell vectors:
Pd 0.7500 0.7500 0.7500
Th 0.5000 0.5000 0.5000
Ag 0.0000 0.0000 0.0000

***

# 10
This record from OQMD describes a relaxed TbY2Cu4Sn2Ge2 crystal. The functional is GGA-PBE.

Calculated values
DFT total energy	-55.56	eV/cell
calculated density	7.54	g/cm3

Unit cell a=8.2585 b=8.2585 c=8.2585 alpha=149.82 beta=130.23 gamma=59.31
Sites, in units of the cell vectors:
Sn 0.7015 0.5000 0.2015
Sn 0.2985 0.5000 0.7985
Tb 0.0000 0.0000 0.0000
Cu 0.3631 0.6762 0.6869
Cu 0.6369 0.3238 0.3131
Cu 0.9893 0.6762 0.3131
Cu 0.0107 0.3238 0.6869
Y 0.3646 0.8647 0.5000
Y 0.6353 0.1354 0.5000
Ge 0.7835 0.7835 0.0000
Ge 0.2165 0.2165 0.0000

***

# 11
This record from OQMD describes a relaxed Zr5GaSb3 crystal. The functional is GGA-PBE.

Calculated values
DFT total energy	-130.21	eV/cell
calculated density	7.72	g/cm3

Unit cell a=8.6836 b=8.6836 c=5.8708 alpha=90.00 beta=90.00 gamma=120.00
Sites, in units of the cell vectors:
Zr 0.2677 0.2677 0.2500
Zr 0.6667 0.3333 0.0000
Zr 0.3333 0.6667 0.0000
Zr 0.0000 0.2677 0.7500
Zr 0.0000 0.7323 0.2500
Zr 0.3333 0.6667 0.5000
Zr 0.6667 0.3333 0.5000
Zr 0.2677 0.0000 0.7500
Zr 0.7323 0.0000 0.2500
Zr 0.7323 0.7323 0.7500
Ga 0.0000 0.0000 0.5000
Ga 0.0000 0.0000 0.0000
Sb 0.3893 0.0000 0.2500
Sb 0.6107 0.6107 0.2500
Sb 0.0000 0.3893 0.2500
Sb 0.3893 0.3893 0.7500
Sb 0.0000 0.6107 0.7500
Sb 0.6107 0.0000 0.7500

***

# 12
This record from OQMD describes a relaxed TbSiPd2 crystal. The functional is GGA-PBE.

Calculated values
DFT total energy	-46.83	eV/cell
calculated density	9.09	g/cm3

Unit cell a=4.1725 b=6.1963 c=5.6522 alpha=90.00 beta=90.00 gamma=90.00
Sites, in units of the cell vectors:
Tb 0.0000 0.4131 0.3657
Tb 0.5000 0.5869 0.8657
Pd 0.5000 0.7613 0.3522
Pd 0.0000 0.8462 0.6523
Pd 0.5000 0.1538 0.1523
Pd 0.0000 0.2387 0.8522
Si 0.0000 0.8894 0.1298
Si 0.5000 0.1106 0.6298

***

# 13
This record from OQMD describes a relaxed KRe2 crystal. The functional is GGA-PBE.

Calculated values
DFT total energy	-87.56	eV/cell
calculated density	11.78	g/cm3

Unit cell a=5.5506 b=5.5506 c=8.6934 alpha=90.00 beta=90.00 gamma=120.00
Sites, in units of the cell vectors:
Re 0.3438 0.1719 0.7500
Re 0.1719 0.3438 0.2500
Re 0.0000 0.0000 0.0000
Re 0.1719 0.8281 0.2500
Re 0.8281 0.1719 0.7500
Re 0.0000 0.0000 0.5000
Re 0.8281 0.6562 0.7500
Re 0.6562 0.8281 0.2500
K 0.6667 0.3333 0.0641
K 0.6667 0.3333 0.4359
K 0.3333 0.6667 0.9359
K 0.3333 0.6667 0.5641

***

# 14
This record from OQMD describes a relaxed ErTmPd2 crystal. The functional is GGA-PBE.

Calculated values
DFT total energy	-46.46	eV/cell
calculated density	10.64	g/cm3

Unit cell a=5.5441 b=4.5289 c=6.8233 alpha=90.00 beta=90.23 gamma=90.00
Sites, in units of the cell vectors:
Tm 0.3567 0.7500 0.1822
Tm 0.6433 0.2500 0.8178
Pd 0.3451 0.2500 0.4572
Pd 0.8437 0.7500 0.0404
Pd 0.6549 0.7500 0.5428
Pd 0.1563 0.2500 0.9596
Er 0.1441 0.7500 0.6827
Er 0.8559 0.2500 0.3173

***

# 15
This record from OQMD describes a relaxed BaYAgS3 crystal. The functional is GGA-PBE.

Calculated values
DFT total energy	-66.60	eV/cell
calculated density	4.75	g/cm3

Unit cell a=9.0587 b=9.0587 c=8.5653 alpha=102.27 beta=102.27 gamma=26.01
Sites, in units of the cell vectors:
Ag 0.4764 0.4764 0.2895
Ag 0.5236 0.5236 0.7105
S 0.6775 0.6775 0.8061
S 0.0000 0.0000 0.5000
S 0.3225 0.3225 0.1939
S 0.6748 0.6748 0.3704
S 0.5000 0.5000 0.0000
S 0.3252 0.3252 0.6296
Y 0.8361 0.8361 0.4169
Y 0.1639 0.1639 0.5831
Ba 0.8652 0.8652 0.9259
Ba 0.1348 0.1348 0.0741

***

# 16
This record from OQMD describes a relaxed B3Ir crystal. The functional is GGA-PBE.

Calculated values
DFT total energy	-57.95	eV/cell
calculated density	10.85	g/cm3

Unit cell a=2.9273 b=2.9273 c=9.2693 alpha=90.00 beta=90.00 gamma=120.00
Sites, in units of the cell vectors:
B 0.6667 0.3333 0.8357
B 0.0000 0.0000 0.7500
B 0.3333 0.6667 0.1643
B 0.6667 0.3333 0.6643
B 0.0000 0.0000 0.2500
B 0.3333 0.6667 0.3357
Ir 0.0000 0.0000 0.0000
Ir 0.0000 0.0000 0.5000

***

# 17
This record from OQMD describes a relaxed TaCuAgSn crystal. The functional is GGA-PBE.

Calculated values
DFT total energy	-20.34	eV/cell
calculated density	11.07	g/cm3

Unit cell a=4.6399 b=4.6399 c=4.6399 alpha=60.00 beta=60.00 gamma=60.00
Sites, in units of the cell vectors:
Ag 0.2500 0.2500 0.2500
Ta 0.5000 0.5000 0.5000
Sn 0.0000 0.0000 0.0000
Cu 0.7500 0.7500 0.7500

***

# 18
This record from OQMD describes a relaxed PrSnAuSe2S crystal. The functional is GGA-PBE.

Calculated values
DFT total energy	-56.80	eV/cell
calculated density	7.13	g/cm3

Unit cell a=7.1637 b=7.1637 c=10.6147 alpha=90.00 beta=90.00 gamma=146.42
Sites, in units of the cell vectors:
Au 0.5257 0.4743 0.7500
Au 0.4743 0.5257 0.2500
Se 0.6528 0.3472 0.5646
Se 0.6528 0.3472 0.9354
Se 0.3472 0.6528 0.0646
Se 0.3472 0.6528 0.4354
Sn 0.2496 0.7504 0.7500
Sn 0.7504 0.2496 0.2500
S 0.9095 0.0905 0.7500
S 0.0905 0.9095 0.2500
Pr 0.0000 0.0000 0.5000
Pr 0.0000 0.0000 0.0000

***

# 19
This record from OQMD describes a relaxed Tm3Al3GeIr2 crystal. The functional is GGA-PBE.

Calculated values
DFT total energy	-53.98	eV/cell
calculated density	9.91	g/cm3

Unit cell a=7.2082 b=7.2082 c=3.8915 alpha=90.00 beta=90.00 gamma=120.00
Sites, in units of the cell vectors:
Ir 0.6667 0.3333 0.5000
Ir 0.3333 0.6667 0.5000
Al 0.7288 0.0000 0.5000
Al 0.2712 0.2712 0.5000
Al 0.0000 0.7288 0.5000
Tm 0.4047 0.0000 0.0000
Tm 0.0000 0.4047 0.0000
Tm 0.5953 0.5953 0.0000
Ge 0.0000 0.0000 0.0000

***

# 20
This record from OQMD describes a relaxed Dy2HoCoSn3Ir2 crystal. The functional is GGA-PBE.

Calculated values
DFT total energy	-57.34	eV/cell
calculated density	11.52	g/cm3

Unit cell a=3.7864 b=7.5262 c=7.5262 alpha=119.94 beta=90.00 gamma=90.00
Sites, in units of the cell vectors:
Sn 0.5000 0.7468 0.9996
Sn 0.5000 0.9996 0.7468
Sn 0.5000 0.2534 0.2534
Ir 0.5000 0.3339 0.6665
Ir 0.5000 0.6665 0.3339
Dy 0.0000 0.0000 0.4057
Dy 0.0000 0.4057 0.0000
Ho 0.0000 0.5945 0.5945
Co 0.0000 0.9998 0.9998

***

Going through the records in order, we get M_tot values of 0.00, 0.98, 0.00, 0.03, 0.01, 0.01, 4.86, 0.00, 0.01, 0.00, 0.00, 0.00, 0.00, 0.01, 0.00, 0.00, 0.94, 0.00, 0.00, 0.01 μB per formula unit.